A.
Computed, not measured: crystalline ZrGaTc at its relaxed geometry at the GGA-PBE level of DFT.

Cell lengths 4.378, 7.013, 7.013 Å; angles 28.91, 90.00, 90.00 degrees
Sites, in units of the cell vectors:
Zr1 0.000 0.000 0.000
Zr2 0.000 0.304 0.304
Ga1 0.500 0.152 0.152
Ga2 0.500 0.851 0.851
Tc1 0.000 0.658 0.658
Tc2 0.500 0.499 0.499

Properties
For the calculated density, the calculation gives 8.3 g/cm³. The total magnetization comes out at 0.0 μB per cell. For the volume, the calculation gives 104 Å³/cell.

B.
Computed, not measured: crystalline ZrGaTc at its relaxed geometry at the GGA-PBE level of DFT.

Cell lengths 3.194, 4.527, 7.392 Å; angles 90.00, 92.86, 90.00 degrees
Sites, in units of the cell vectors:
Zr1 0.000 0.000 0.000
Zr2 0.000 0.500 0.500
Ga1 0.494 0.000 0.330
Ga2 0.506 0.000 0.670
Tc1 0.425 0.500 0.157
Tc2 0.575 0.500 0.843

Properties
For the calculated density, the calculation gives 8.1 g/cm³. The total magnetization comes out at 0.0 μB per cell. For the volume, the calculation gives 107 Å³/cell.

Most favorable first, least favorable last: A, B

A.
Computed, not measured: crystalline ZrGaTc at its relaxed geometry at the GGA-PBE level of DFT.

Cell lengths 6.431, 4.914, 5.490 Å; angles 76.13, 47.89, 55.98 degrees
Sites, in units of the cell vectors:
Zr1 0.000 0.000 0.000
Zr2 0.250 0.250 0.250
Ga1 0.345 0.345 0.655
Ga2 0.595 0.595 0.905
Tc1 0.673 0.673 0.327
Tc2 0.923 0.923 0.577

Properties
For the calculated density, the calculation gives 8.3 g/cm³. The total magnetization comes out at 0.0 μB per cell. For the volume, the calculation gives 104 Å³/cell.

B.
Computed, not measured: crystalline ZrGaTc at its relaxed geometry at the GGA-PBE level of DFT.

Cell lengths 6.230, 6.230, 6.230 Å; angles 90.00, 90.00, 90.00 degrees
Sites, in units of the cell vectors:
Zr1 0.027 0.027 0.027
Zr2 0.473 0.973 0.527
Zr3 0.527 0.473 0.973
Zr4 0.973 0.527 0.473
Ga1 0.006 0.994 0.494
Ga2 0.494 0.006 0.994
Ga3 0.506 0.506 0.506
Ga4 0.994 0.494 0.006
Tc1 0.232 0.732 0.768
Tc2 0.268 0.268 0.268
Tc3 0.732 0.768 0.232
Tc4 0.768 0.232 0.732

Properties
For the calculated density, the calculation gives 7.1 g/cm³. The total magnetization comes out at 0.0 μB per cell. For the volume, the calculation gives 242 Å³/cell.

Most favorable first, least favorable last: A, B

A.
Computed, not measured: crystalline ZrGaTc at its relaxed geometry at the GGA-PBE level of DFT.

Cell lengths 5.068, 5.068, 5.551 Å; angles 106.17, 106.17, 51.04 degrees
Sites, in units of the cell vectors:
Zr1 0.000 0.000 0.000
Zr2 0.726 0.726 0.368
Ga1 0.075 0.075 0.553
Ga2 0.327 0.327 0.112
Tc1 0.395 0.395 0.673
Tc2 0.690 0.690 0.847

Properties
For the calculated density, the calculation gives 8.2 g/cm³. The total magnetization comes out at 0.0 μB per cell. For the volume, the calculation gives 105 Å³/cell.

B.
Computed, not measured: crystalline ZrGaTc at its relaxed geometry at the GGA-PBE level of DFT.

Cell lengths 4.507, 6.930, 6.930 Å; angles 28.42, 90.00, 90.00 degrees
Sites, in units of the cell vectors:
Zr1 0.000 0.000 0.000
Zr2 0.500 0.192 0.192
Ga1 0.000 0.324 0.324
Ga2 0.500 0.521 0.521
Tc1 0.000 0.668 0.668
Tc2 0.500 0.865 0.865

Properties
For the calculated density, the calculation gives 8.3 g/cm³. The total magnetization comes out at 0.0 μB per cell. For the volume, the calculation gives 103 Å³/cell.

Most favorable first, least favorable last: B, A

A.
Computed, not measured: crystalline Zr4GaTc at its relaxed geometry at the GGA-PBE level of DFT.

Cell lengths 6.765, 6.765, 5.400 Å; angles 90.00, 90.00, 90.00 degrees
Sites, in units of the cell vectors:
Zr1 0.156 0.337 0.000
Zr2 0.156 0.663 0.500
Zr3 0.337 0.156 0.500
Zr4 0.337 0.844 0.000
Zr5 0.663 0.156 0.000
Zr6 0.663 0.844 0.500
Zr7 0.844 0.337 0.500
Zr8 0.844 0.663 0.000
Ga1 0.500 0.500 0.250
Ga2 0.500 0.500 0.750
Tc1 0.000 0.000 0.250
Tc2 0.000 0.000 0.750

Properties
For the calculated density, the calculation gives 7.2 g/cm³. The total magnetization comes out at 0.0 μB per cell. For the volume, the calculation gives 247 Å³/cell.

B.
Computed, not measured: crystalline Zr4GaTc at its relaxed geometry at the GGA-PBE level of DFT.

Cell lengths 4.629, 4.629, 7.846 Å; angles 107.10, 107.10, 59.75 degrees
Sites, in units of the cell vectors:
Zr1 0.121 0.121 0.361
Zr2 0.371 0.371 0.112
Zr3 0.629 0.629 0.888
Zr4 0.879 0.879 0.639
Ga1 0.500 0.500 0.500
Tc1 0.000 0.000 0.000

Properties
For the calculated density, the calculation gives 6.5 g/cm³. The total magnetization comes out at 0.0 μB per cell. For the volume, the calculation gives 137 Å³/cell.

Most favorable first, least favorable last: A, B

A.
Computed, not measured: crystalline Zr3GaTc at its relaxed geometry at the GGA-PBE level of DFT.

Cell lengths 4.915, 4.915, 4.915 Å; angles 90.00, 90.00, 90.00 degrees
Sites, in units of the cell vectors:
Zr1 0.000 0.000 0.500
Zr2 0.000 0.500 0.000
Zr3 0.500 0.000 0.000
Ga1 0.000 0.000 0.000
Tc1 0.500 0.500 0.500

Properties
For the calculated density, the calculation gives 6.2 g/cm³. The total magnetization comes out at 0.0 μB per cell. For the volume, the calculation gives 119 Å³/cell.

B.
Computed, not measured: crystalline Zr3GaTc at its relaxed geometry at the GGA-PBE level of DFT.

Cell lengths 5.001, 5.001, 5.001 Å; angles 90.00, 90.00, 90.00 degrees
Sites, in units of the cell vectors:
Zr1 0.000 0.000 0.500
Zr2 0.000 0.500 0.000
Zr3 0.500 0.000 0.000
Ga1 0.500 0.500 0.500
Tc1 0.000 0.000 0.000

Properties
For the calculated density, the calculation gives 5.9 g/cm³. The total magnetization comes out at 0.0 μB per cell. For the volume, the calculation gives 125 Å³/cell.

Most favorable first, least favorable last: B, A

A.
Computed, not measured: crystalline ZrGa2Tc2 at its relaxed geometry at the GGA-PBE level of DFT.

Cell lengths 7.084, 7.084, 3.199 Å; angles 90.00, 90.00, 90.00 degrees
Sites, in units of the cell vectors:
Zr1 0.000 0.000 0.000
Zr2 0.500 0.500 0.000
Ga1 0.129 0.371 0.000
Ga2 0.371 0.871 0.000
Ga3 0.629 0.129 0.000
Ga4 0.871 0.629 0.000
Tc1 0.167 0.667 0.500
Tc2 0.333 0.167 0.500
Tc3 0.667 0.833 0.500
Tc4 0.833 0.333 0.500

Properties
For the calculated density, the calculation gives 8.8 g/cm³. The total magnetization comes out at 0.0 μB per cell. For the volume, the calculation gives 161 Å³/cell.

B.
Computed, not measured: crystalline ZrGa2Tc2 at its relaxed geometry at the GGA-PBE level of DFT.

Cell lengths 5.733, 5.733, 5.733 Å; angles 135.91, 135.91, 64.12 degrees
Sites, in units of the cell vectors:
Zr1 0.000 0.000 0.000
Ga1 0.250 0.750 0.500
Ga2 0.750 0.250 0.500
Tc1 0.385 0.385 0.000
Tc2 0.615 0.615 0.000

Properties
For the calculated density, the calculation gives 7.9 g/cm³. The total magnetization comes out at 0.0 μB per cell. For the volume, the calculation gives 90 Å³/cell.

Most favorable first, least favorable last: A, B

A.
Computed, not measured: crystalline Th2GaTe at its relaxed geometry at the GGA-PBE level of DFT.

Cell lengths 3.653, 3.653, 8.125 Å; angles 90.00, 90.00, 90.00 degrees
Sites, in units of the cell vectors:
Th1 0.000 0.000 0.244
Th2 0.000 0.000 0.756
Ga1 0.500 0.500 0.000
Te1 0.500 0.500 0.500

Properties
For the calculated density, the calculation gives 10.1 g/cm³. The total magnetization comes out at 0.0 μB per cell. For the volume, the calculation gives 108 Å³/cell.

B.
Computed, not measured: crystalline Th2GaTe at its relaxed geometry at the GGA-PBE level of DFT.

Cell lengths 7.667, 7.667, 7.667 Å; angles 132.18, 132.18, 69.94 degrees
Sites, in units of the cell vectors:
Th1 0.117 0.367 0.750
Th2 0.367 0.117 0.250
Th3 0.633 0.883 0.750
Th4 0.883 0.633 0.250
Ga1 0.125 0.875 0.250
Ga2 0.875 0.125 0.750
Te1 0.374 0.624 0.750
Te2 0.626 0.376 0.250

Properties
For the calculated density, the calculation gives 9.1 g/cm³. The total magnetization comes out at 0.0 μB per cell. For the volume, the calculation gives 243 Å³/cell.

C.
Computed, not measured: crystalline Th2GaTe at its relaxed geometry at the GGA-PBE level of DFT.

Cell lengths 7.689, 7.689, 7.689 Å; angles 33.30, 33.30, 33.30 degrees
Sites, in units of the cell vectors:
Th1 0.240 0.240 0.240
Th2 0.760 0.760 0.760
Ga1 0.500 0.500 0.500
Te1 0.000 0.000 0.000

Properties
For the calculated density, the calculation gives 9.0 g/cm³. The total magnetization comes out at 0.0 μB per cell. For the volume, the calculation gives 122 Å³/cell.

D.
Computed, not measured: crystalline Th2GaTe at its relaxed geometry at the GGA-PBE level of DFT.

Cell lengths 4.293, 4.293, 7.627 Å; angles 90.00, 90.00, 120.00 degrees
Sites, in units of the cell vectors:
Th1 0.333 0.667 0.219
Th2 0.667 0.333 0.781
Ga1 0.000 0.000 0.000
Te1 0.000 0.000 0.500

Properties
For the calculated density, the calculation gives 9.0 g/cm³. The total magnetization comes out at 0.0 μB per cell. For the volume, the calculation gives 122 Å³/cell.

Most favorable first, least favorable last: C, B, A, D

A.
Computed, not measured: crystalline Ti2GaTe at its relaxed geometry at the GGA-PBE level of DFT.

Cell lengths 7.634, 7.634, 7.634 Å; angles 135.33, 135.33, 65.02 degrees
Sites, in units of the cell vectors:
Ti1 0.084 0.625 0.959
Ti2 0.375 0.334 0.459
Ti3 0.666 0.125 0.041
Ti4 0.875 0.916 0.541
Ga1 0.000 0.000 0.000
Ga2 0.750 0.250 0.500
Te1 0.250 0.750 0.500
Te2 0.500 0.500 0.000

Properties
For the calculated density, the calculation gives 4.5 g/cm³. The total magnetization comes out at 0.0 μB per cell. For the volume, the calculation gives 217 Å³/cell.

B.
Computed, not measured: crystalline Ti2GaTe at its relaxed geometry at the GGA-PBE level of DFT.

Cell lengths 4.696, 4.696, 4.696 Å; angles 60.00, 60.00, 60.00 degrees
Sites, in units of the cell vectors:
Ti1 0.250 0.250 0.250
Ti2 0.750 0.750 0.750
Ga1 0.000 0.000 0.000
Te1 0.500 0.500 0.500

Properties
For the calculated density, the calculation gives 6.6 g/cm³. The total magnetization comes out at 0.7 μB per cell. For the volume, the calculation gives 73 Å³/cell.

Most favorable first, least favorable last: B, A